DFT (PBE) results for crystalline CaTi2P2 at its relaxed geometry.

calculated total energy = -6.506 eV/atom
energy above the most stable polymorph in this dataset = 0.000 eV per atom
space-group type = P4/mbm, No. 127
E_form = -76 kJ per mole of atoms

a = 7.1587 Å, b = 7.1587 Å, c = 3.3320 Å
α = 90.00°, β = 90.00°, γ = 90.00°
Closest atoms and distances in Å follow each position.
Fractional coordinates of all 10 atoms:
P (0.8607, 0.6393, 0.0000)  6 Ti 2.61-2.78, 2 Ca 2.77, 1 P 2.82
P (0.1393, 0.3607, 0.0000)  6 Ti 2.61-2.78, 2 Ca 2.77, 1 P 2.82
P (0.6393, 0.1393, 0.0000)  6 Ti 2.61-2.78, 2 Ca 2.77, 1 P 2.82
P (0.3607, 0.8607, 0.0000)  6 Ti 2.61-2.78, 2 Ca 2.77, 1 P 2.82
Ti (0.3593, 0.1407, 0.5000)  6 P 2.61-2.78, 1 Ti 2.85
Ti (0.6407, 0.8593, 0.5000)  6 P 2.61-2.78, 1 Ti 2.85
Ti (0.1407, 0.6407, 0.5000)  6 P 2.61-2.78, 1 Ti 2.85
Ti (0.8593, 0.3593, 0.5000)  6 P 2.61-2.78, 1 Ti 2.85
Ca (0.5000, 0.5000, 0.0000)  4 P 2.77
Ca (0.0000, 0.0000, 0.0000)  4 P 2.77

DFT (PBE) results for crystalline Dy2Zr2Sb2H at its relaxed geometry.

calculated total energy = -6.234 eV/atom
space-group type = I4/mmm, No. 139

a = 4.3062 Å, b = 4.3062 Å, c = 8.7891 Å
α = 104.18°, β = 104.18°, γ = 90.00°
Closest atoms and distances in Å follow each position.
Fractional coordinates of all 7 atoms:
H (0.0000, 0.0000, 0.0000)  4 Zr 2.15
Sb (0.6329, 0.6329, 0.2657)  4 Zr 3.07, 5 Dy 3.13-3.14
Sb (0.3671, 0.3671, 0.7343)  4 Zr 3.07, 5 Dy 3.13-3.14
Zr (0.5000, 0.0000, 0.0000)  2 H 2.15
Zr (0.0000, 0.5000, 0.0000)  2 H 2.15
Dy (0.8234, 0.8234, 0.6468)  1 H 2.91, 5 Sb 3.13-3.14
Dy (0.1766, 0.1766, 0.3532)  1 H 2.91, 5 Sb 3.13-3.14

Q: Which value of calculated total energy does entry 2 give?
A: -6.234 eV/atom